# 1
! Pm2InGa2Pd5 PBE relaxed; values from VASP
! * symmetry: P4/mbm (127)
! * formation energy: -0.711 eV/atom
! * uncorrected energy: -102.74 eV for the cell shown
&SYSTEM
  ibrav = 0, nat = 20, ntyp = 4
/
ATOMIC_SPECIES
Pm 145.00 Pm.upf
In 114.82 In.upf
Ga 69.72 Ga.upf
Pd 106.42 Pd.upf
CELL_PARAMETERS angstrom
10.096 0.000 0.000
0.000 10.096 0.000
0.000 0.000 3.756
ATOMIC_POSITIONS crystal
Pm 0.177 0.323 0.000
Pm 0.323 0.823 0.000
Pm 0.677 0.177 0.000
Pm 0.823 0.677 0.000
In 0.000 0.000 0.000
In 0.500 0.500 0.000
Ga 0.121 0.621 0.000
Ga 0.379 0.121 0.000
Ga 0.621 0.879 0.000
Ga 0.879 0.379 0.000
Pd 0.000 0.500 0.500
Pd 0.063 0.789 0.500
Pd 0.211 0.063 0.500
Pd 0.289 0.563 0.500
Pd 0.437 0.289 0.500
Pd 0.500 0.000 0.500
Pd 0.563 0.711 0.500
Pd 0.711 0.437 0.500
Pd 0.789 0.937 0.500
Pd 0.937 0.211 0.500



# 2
! PrInGaPd3 PBE relaxed; values from VASP
! * symmetry: Cmcm (63)
! * formation energy: -0.532 eV/atom
! * uncorrected energy: -58.64 eV for the cell shown
&SYSTEM
  ibrav = 0, nat = 12, ntyp = 4
/
ATOMIC_SPECIES
Pr 140.91 Pr.upf
In 114.82 In.upf
Ga 69.72 Ga.upf
Pd 106.42 Pd.upf
CELL_PARAMETERS angstrom
3.500 -6.256 0.000
3.500 6.256 0.000
0.000 0.000 5.823
ATOMIC_POSITIONS crystal
Pr 0.193 0.807 0.750
Pr 0.807 0.193 0.250
In 0.443 0.557 0.750
In 0.557 0.443 0.250
Ga 0.130 0.870 0.250
Ga 0.870 0.130 0.750
Pd 0.197 0.197 0.000
Pd 0.197 0.197 0.500
Pd 0.331 0.669 0.250
Pd 0.669 0.331 0.750
Pd 0.803 0.803 0.000
Pd 0.803 0.803 0.500



# 3
! Pr2InGa4Pd3 PBE relaxed; values from VASP
! * symmetry: P-4m2 (115)
! * formation energy: -0.724 eV/atom
! * uncorrected energy: -47.23 eV for the cell shown
&SYSTEM
  ibrav = 0, nat = 10, ntyp = 4
/
ATOMIC_SPECIES
Pr 140.91 Pr.upf
In 114.82 In.upf
Ga 69.72 Ga.upf
Pd 106.42 Pd.upf
CELL_PARAMETERS angstrom
4.350 0.000 0.000
0.000 4.350 0.000
0.000 0.000 10.790
ATOMIC_POSITIONS crystal
Pr 0.000 0.500 0.239
Pr 0.500 0.000 0.761
In 0.000 0.000 0.500
Ga 0.000 0.000 0.000
Ga 0.000 0.500 0.649
Ga 0.500 0.000 0.351
Ga 0.500 0.500 0.000
Pd 0.000 0.500 0.878
Pd 0.500 0.000 0.122
Pd 0.500 0.500 0.500



# 4
! Pr2InGaPd6 PBE relaxed; values from VASP
! * symmetry: P-1 (2)
! * formation energy: -0.578 eV/atom
! * uncorrected energy: -52.26 eV for the cell shown
&SYSTEM
  ibrav = 0, nat = 10, ntyp = 4
/
ATOMIC_SPECIES
Pr 140.91 Pr.upf
In 114.82 In.upf
Ga 69.72 Ga.upf
Pd 106.42 Pd.upf
CELL_PARAMETERS angstrom
5.731 0.000 0.000
-2.860 4.966 0.000
-2.840 -1.650 8.155
ATOMIC_POSITIONS crystal
Pr 0.087 0.293 0.379
Pr 0.913 0.707 0.621
In 0.500 0.500 0.000
Ga 0.500 0.000 0.500
Pd 0.010 0.754 0.269
Pd 0.482 0.245 0.730
Pd 0.482 0.739 0.730
Pd 0.518 0.261 0.270
Pd 0.518 0.755 0.270
Pd 0.990 0.246 0.731



# 5
! PrInGaPd PBE relaxed; values from VASP
! * symmetry: F-43m (216)
! * formation energy: -0.582 eV/atom
! * uncorrected energy: -18.07 eV for the cell shown
&SYSTEM
  ibrav = 0, nat = 4, ntyp = 4
/
ATOMIC_SPECIES
Pr 140.91 Pr.upf
In 114.82 In.upf
Ga 69.72 Ga.upf
Pd 106.42 Pd.upf
CELL_PARAMETERS angstrom
0.000 3.521 3.521
3.521 0.000 3.521
3.521 3.521 0.000
ATOMIC_POSITIONS crystal
Pr 0.000 0.000 0.000
In 0.500 0.500 0.500
Ga 0.250 0.250 0.250
Pd 0.750 0.750 0.750



# 6
! PrInGa2Pd5 PBE relaxed; values from VASP
! * symmetry: P4/mmm (123)
! * formation energy: -0.536 eV/atom
! * uncorrected energy: -44.36 eV for the cell shown
&SYSTEM
  ibrav = 0, nat = 9, ntyp = 4
/
ATOMIC_SPECIES
Pr 140.91 Pr.upf
In 114.82 In.upf
Ga 69.72 Ga.upf
Pd 106.42 Pd.upf
CELL_PARAMETERS angstrom
4.252 0.000 0.000
0.000 4.252 0.000
0.000 0.000 9.303
ATOMIC_POSITIONS crystal
Pr 0.000 0.000 0.000
In 0.000 0.000 0.500
Ga 0.500 0.500 0.368
Ga 0.500 0.500 0.632
Pd 0.000 0.500 0.229
Pd 0.000 0.500 0.771
Pd 0.500 0.000 0.229
Pd 0.500 0.000 0.771
Pd 0.500 0.500 0.000



# 7
! PuInGaPd3 PBE relaxed; values from VASP
! * symmetry: Cmcm (63)
! * formation energy: -0.375 eV/atom
! * uncorrected energy: -75.85 eV for the cell shown
&SYSTEM
  ibrav = 0, nat = 12, ntyp = 4
/
ATOMIC_SPECIES
Pu 244.00 Pu.upf
In 114.82 In.upf
Ga 69.72 Ga.upf
Pd 106.42 Pd.upf
CELL_PARAMETERS angstrom
2.868 -6.602 0.000
2.868 6.602 0.000
0.000 0.000 6.309
ATOMIC_POSITIONS crystal
Pu 0.177 0.823 0.750
Pu 0.823 0.177 0.250
In 0.148 0.852 0.250
In 0.852 0.148 0.750
Ga 0.403 0.597 0.750
Ga 0.597 0.403 0.250
Pd 0.241 0.241 0.000
Pd 0.241 0.241 0.500
Pd 0.351 0.649 0.250
Pd 0.649 0.351 0.750
Pd 0.759 0.759 0.000
Pd 0.759 0.759 0.500



# 8
! Pu2InGa3Pd4 PBE relaxed; values from VASP
! * symmetry: P-4m2 (115)
! * formation energy: -0.542 eV/atom
! * uncorrected energy: -66.67 eV for the cell shown
&SYSTEM
  ibrav = 0, nat = 10, ntyp = 4
/
ATOMIC_SPECIES
Pu 244.00 Pu.upf
In 114.82 In.upf
Ga 69.72 Ga.upf
Pd 106.42 Pd.upf
CELL_PARAMETERS angstrom
4.134 0.000 0.000
0.000 4.134 0.000
0.000 0.000 11.545
ATOMIC_POSITIONS crystal
Pu 0.000 0.500 0.244
Pu 0.500 0.000 0.756
In 0.000 0.000 0.500
Ga 0.000 0.500 0.872
Ga 0.500 0.000 0.128
Ga 0.500 0.500 0.500
Pd 0.000 0.000 0.000
Pd 0.000 0.500 0.655
Pd 0.500 0.000 0.345
Pd 0.500 0.500 0.000



# 9
! PuInGaPd PBE relaxed; values from VASP
! * symmetry: F-43m (216)
! * formation energy: -0.376 eV/atom
! * uncorrected energy: -26.79 eV for the cell shown
&SYSTEM
  ibrav = 0, nat = 4, ntyp = 4
/
ATOMIC_SPECIES
Pu 244.00 Pu.upf
In 114.82 In.upf
Ga 69.72 Ga.upf
Pd 106.42 Pd.upf
CELL_PARAMETERS angstrom
0.000 3.459 3.459
3.459 0.000 3.459
3.459 3.459 0.000
ATOMIC_POSITIONS crystal
Pu 0.000 0.000 0.000
In 0.500 0.500 0.500
Ga 0.250 0.250 0.250
Pd 0.750 0.750 0.750



# 10
! InGaPd2Rh PBE relaxed; values from VASP
! * symmetry: P4/mmm (123)
! * formation energy: 0.087 eV/atom
! * uncorrected energy: -23.07 eV for the cell shown
&SYSTEM
  ibrav = 0, nat = 5, ntyp = 4
/
ATOMIC_SPECIES
In 114.82 In.upf
Ga 69.72 Ga.upf
Pd 106.42 Pd.upf
Rh 102.91 Rh.upf
CELL_PARAMETERS angstrom
4.603 0.000 0.000
0.000 4.603 0.000
0.000 0.000 4.586
ATOMIC_POSITIONS crystal
In 0.000 0.000 0.000
Ga 0.500 0.500 0.500
Pd 0.000 0.500 0.500
Pd 0.500 0.000 0.500
Rh 0.500 0.500 0.000



# 11
! InGaPdRh PBE relaxed; values from VASP
! * symmetry: F-43m (216)
! * formation energy: -0.463 eV/atom
! * uncorrected energy: -20.16 eV for the cell shown
&SYSTEM
  ibrav = 0, nat = 4, ntyp = 4
/
ATOMIC_SPECIES
In 114.82 In.upf
Ga 69.72 Ga.upf
Pd 106.42 Pd.upf
Rh 102.91 Rh.upf
CELL_PARAMETERS angstrom
0.000 3.176 3.176
3.176 0.000 3.176
3.176 3.176 0.000
ATOMIC_POSITIONS crystal
In 0.000 0.000 0.000
Ga 0.500 0.500 0.500
Pd 0.750 0.750 0.750
Rh 0.250 0.250 0.250



# 12
! InGaPdRu PBE relaxed; values from VASP
! * symmetry: F-43m (216)
! * formation energy: -0.255 eV/atom
! * uncorrected energy: -21.26 eV for the cell shown
&SYSTEM
  ibrav = 0, nat = 4, ntyp = 4
/
ATOMIC_SPECIES
In 114.82 In.upf
Ga 69.72 Ga.upf
Pd 106.42 Pd.upf
Ru 101.07 Ru.upf
CELL_PARAMETERS angstrom
0.000 3.168 3.168
3.168 0.000 3.168
3.168 3.168 0.000
ATOMIC_POSITIONS crystal
In 0.000 0.000 0.000
Ga 0.500 0.500 0.500
Pd 0.250 0.250 0.250
Ru 0.750 0.750 0.750



# 13
! InGaPd2Ru PBE relaxed; values from VASP
! * symmetry: P4/mmm (123)
! * formation energy: 1.044 eV/atom
! * uncorrected energy: -20.21 eV for the cell shown
&SYSTEM
  ibrav = 0, nat = 5, ntyp = 4
/
ATOMIC_SPECIES
In 114.82 In.upf
Ga 69.72 Ga.upf
Pd 106.42 Pd.upf
Ru 101.07 Ru.upf
CELL_PARAMETERS angstrom
4.878 0.000 0.000
0.000 4.878 0.000
0.000 0.000 4.954
ATOMIC_POSITIONS crystal
In 0.000 0.000 0.000
Ga 0.500 0.500 0.500
Pd 0.000 0.500 0.000
Pd 0.500 0.000 0.000
Ru 0.000 0.000 0.500



# 14
! InGaPdS4 PBE relaxed; values from VASP
! * symmetry: Imma (74)
! * uncorrected energy: -60.90 eV for the cell shown
&SYSTEM
  ibrav = 0, nat = 14, ntyp = 4
/
ATOMIC_SPECIES
In 114.82 In.upf
Ga 69.72 Ga.upf
Pd 106.42 Pd.upf
S 32.06 S.upf
CELL_PARAMETERS angstrom
-3.736 3.824 5.065
3.736 -3.824 5.065
3.736 3.824 -5.065
ATOMIC_POSITIONS crystal
In 0.000 0.000 0.000
In 0.500 0.000 0.500
Ga 0.385 0.635 0.750
Ga 0.615 0.365 0.250
Pd 0.000 0.000 0.500
Pd 0.000 0.500 0.000
S 0.219 0.744 0.475
S 0.230 0.256 0.975
S 0.241 0.236 0.495
S 0.241 0.746 0.005
S 0.759 0.254 0.995
S 0.759 0.764 0.505
S 0.770 0.744 0.025
S 0.781 0.256 0.525



# 15
! Sc2In2GaPd4 PBE relaxed; values from VASP
! * symmetry: I4/mmm (139)
! * formation energy: -0.418 eV/atom
! * uncorrected energy: -45.70 eV for the cell shown
&SYSTEM
  ibrav = 0, nat = 9, ntyp = 4
/
ATOMIC_SPECIES
Sc 44.96 Sc.upf
In 114.82 In.upf
Ga 69.72 Ga.upf
Pd 106.42 Pd.upf
CELL_PARAMETERS angstrom
-3.169 3.169 4.380
3.169 -3.169 4.380
3.169 3.169 -4.380
ATOMIC_POSITIONS crystal
Sc 0.195 0.195 0.000
Sc 0.805 0.805 0.000
In 0.250 0.750 0.500
In 0.750 0.250 0.500
Ga 0.500 0.500 0.000
Pd 0.230 0.230 0.460
Pd 0.230 0.770 0.000
Pd 0.770 0.230 0.000
Pd 0.770 0.770 0.540



# 16
! ScInGa2Pd PBE relaxed; values from VASP
! * symmetry: P4/mmm (123)
! * formation energy: 0.442 eV/atom
! * uncorrected energy: -18.10 eV for the cell shown
&SYSTEM
  ibrav = 0, nat = 5, ntyp = 4
/
ATOMIC_SPECIES
Sc 44.96 Sc.upf
In 114.82 In.upf
Ga 69.72 Ga.upf
Pd 106.42 Pd.upf
CELL_PARAMETERS angstrom
5.026 0.000 0.000
0.000 5.026 0.000
0.000 0.000 4.982
ATOMIC_POSITIONS crystal
Sc 0.000 0.000 0.000
In 0.500 0.500 0.500
Ga 0.000 0.500 0.500
Ga 0.500 0.000 0.500
Pd 0.500 0.500 0.000



# 17
! Sc4InGaPd2 PBE relaxed; values from VASP
! * symmetry: R-3m (166)
! * formation energy: -0.680 eV/atom
! * uncorrected energy: -46.92 eV for the cell shown
&SYSTEM
  ibrav = 0, nat = 8, ntyp = 4
/
ATOMIC_SPECIES
Sc 44.96 Sc.upf
In 114.82 In.upf
Ga 69.72 Ga.upf
Pd 106.42 Pd.upf
CELL_PARAMETERS angstrom
2.399 1.385 7.843
-2.399 1.385 7.843
0.000 -2.770 7.843
ATOMIC_POSITIONS crystal
Sc 0.121 0.121 0.121
Sc 0.371 0.371 0.371
Sc 0.629 0.629 0.629
Sc 0.879 0.879 0.879
In 0.500 0.500 0.500
Ga 0.000 0.000 0.000
Pd 0.246 0.246 0.246
Pd 0.754 0.754 0.754



# 18
! ScInGaPd PBE relaxed; values from VASP
! * symmetry: F-43m (216)
! * formation energy: -0.544 eV/atom
! * uncorrected energy: -19.47 eV for the cell shown
&SYSTEM
  ibrav = 0, nat = 4, ntyp = 4
/
ATOMIC_SPECIES
Sc 44.96 Sc.upf
In 114.82 In.upf
Ga 69.72 Ga.upf
Pd 106.42 Pd.upf
CELL_PARAMETERS angstrom
0.000 3.333 3.333
3.333 0.000 3.333
3.333 3.333 0.000
ATOMIC_POSITIONS crystal
Sc 0.000 0.000 0.000
In 0.500 0.500 0.500
Ga 0.750 0.750 0.750
Pd 0.250 0.250 0.250



# 19
! Sc4InGa2Pd PBE relaxed; values from VASP
! * symmetry: R-3m (166)
! * formation energy: -0.607 eV/atom
! * uncorrected energy: -44.17 eV for the cell shown
&SYSTEM
  ibrav = 0, nat = 8, ntyp = 4
/
ATOMIC_SPECIES
Sc 44.96 Sc.upf
In 114.82 In.upf
Ga 69.72 Ga.upf
Pd 106.42 Pd.upf
CELL_PARAMETERS angstrom
2.407 1.390 7.870
-2.407 1.390 7.870
0.000 -2.779 7.870
ATOMIC_POSITIONS crystal
Sc 0.119 0.119 0.119
Sc 0.371 0.371 0.371
Sc 0.629 0.629 0.629
Sc 0.881 0.881 0.881
In 0.500 0.500 0.500
Ga 0.250 0.250 0.250
Ga 0.750 0.750 0.750
Pd 0.000 0.000 0.000



# 20
! InGaPdSe2 PBE relaxed; values from VASP
! * symmetry: P4/mmm (123)
! * uncorrected energy: -17.28 eV for the cell shown
&SYSTEM
  ibrav = 0, nat = 5, ntyp = 4
/
ATOMIC_SPECIES
In 114.82 In.upf
Ga 69.72 Ga.upf
Pd 106.42 Pd.upf
Se 78.96 Se.upf
CELL_PARAMETERS angstrom
5.091 0.000 0.000
0.000 5.091 0.000
0.000 0.000 4.821
ATOMIC_POSITIONS crystal
In 0.000 0.000 0.000
Ga 0.500 0.500 0.500
Pd 0.500 0.500 0.000
Se 0.000 0.500 0.500
Se 0.500 0.000 0.500



# 21
! Sm2InGa4Pd3 PBE relaxed; values from VASP
! * symmetry: P-4m2 (115)
! * formation energy: -0.713 eV/atom
! * uncorrected energy: -46.99 eV for the cell shown
&SYSTEM
  ibrav = 0, nat = 10, ntyp = 4
/
ATOMIC_SPECIES
Sm 150.36 Sm.upf
In 114.82 In.upf
Ga 69.72 Ga.upf
Pd 106.42 Pd.upf
CELL_PARAMETERS angstrom
4.288 0.000 0.000
0.000 4.288 0.000
0.000 0.000 10.844
ATOMIC_POSITIONS crystal
Sm 0.000 0.500 0.238
Sm 0.500 0.000 0.762
In 0.000 0.000 0.500
Ga 0.000 0.000 0.000
Ga 0.000 0.500 0.650
Ga 0.500 0.000 0.350
Ga 0.500 0.500 0.000
Pd 0.000 0.500 0.875
Pd 0.500 0.000 0.125
Pd 0.500 0.500 0.500



# 22
! Sm2InGa2Pd5 PBE relaxed; values from VASP
! * symmetry: P4/mbm (127)
! * formation energy: -0.718 eV/atom
! * uncorrected energy: -102.74 eV for the cell shown
&SYSTEM
  ibrav = 0, nat = 20, ntyp = 4
/
ATOMIC_SPECIES
Sm 150.36 Sm.upf
In 114.82 In.upf
Ga 69.72 Ga.upf
Pd 106.42 Pd.upf
CELL_PARAMETERS angstrom
10.057 0.000 0.000
0.000 10.057 0.000
0.000 0.000 3.761
ATOMIC_POSITIONS crystal
Sm 0.177 0.323 0.000
Sm 0.323 0.823 0.000
Sm 0.677 0.177 0.000
Sm 0.823 0.677 0.000
In 0.000 0.000 0.000
In 0.500 0.500 0.000
Ga 0.121 0.621 0.000
Ga 0.379 0.121 0.000
Ga 0.621 0.879 0.000
Ga 0.879 0.379 0.000
Pd 0.000 0.500 0.500
Pd 0.063 0.789 0.500
Pd 0.211 0.063 0.500
Pd 0.289 0.563 0.500
Pd 0.437 0.289 0.500
Pd 0.500 0.000 0.500
Pd 0.563 0.711 0.500
Pd 0.711 0.437 0.500
Pd 0.789 0.937 0.500
Pd 0.937 0.211 0.500



# 23
! SmInGaPd PBE relaxed; values from VASP
! * symmetry: F-43m (216)
! * formation energy: -0.597 eV/atom
! * uncorrected energy: -18.06 eV for the cell shown
&SYSTEM
  ibrav = 0, nat = 4, ntyp = 4
/
ATOMIC_SPECIES
Sm 150.36 Sm.upf
In 114.82 In.upf
Ga 69.72 Ga.upf
Pd 106.42 Pd.upf
CELL_PARAMETERS angstrom
0.000 3.478 3.478
3.478 0.000 3.478
3.478 3.478 0.000
ATOMIC_POSITIONS crystal
Sm 0.000 0.000 0.000
In 0.500 0.500 0.500
Ga 0.250 0.250 0.250
Pd 0.750 0.750 0.750



# 24
! SmInGa2Pd5 PBE relaxed; values from VASP
! * symmetry: P4/mmm (123)
! * formation energy: -0.567 eV/atom
! * uncorrected energy: -44.58 eV for the cell shown
&SYSTEM
  ibrav = 0, nat = 9, ntyp = 4
/
ATOMIC_SPECIES
Sm 150.36 Sm.upf
In 114.82 In.upf
Ga 69.72 Ga.upf
Pd 106.42 Pd.upf
CELL_PARAMETERS angstrom
4.216 0.000 0.000
0.000 4.216 0.000
0.000 0.000 9.306
ATOMIC_POSITIONS crystal
Sm 0.000 0.000 0.000
In 0.000 0.000 0.500
Ga 0.500 0.500 0.368
Ga 0.500 0.500 0.632
Pd 0.000 0.500 0.225
Pd 0.000 0.500 0.775
Pd 0.500 0.000 0.225
Pd 0.500 0.000 0.775
Pd 0.500 0.500 0.000